# AlCrSn2N (meta-GGA SCAN, PBEsol geometry)
# Raw total energy   -19.8898 eV/atom
# Uncorrected formation energy   1.56 eV per atom
data_AlCrSn2N
_space_group_name_H-M_alt 'P 4/m m m'
_space_group_IT_number 123
_space_group_name_Hall '-P 4 2'
_cell_length_a 5.136
_cell_length_b 5.136
_cell_length_c 4.826
_cell_angle_alpha 90.00
_cell_angle_beta 90.00
_cell_angle_gamma 90.00
loop_
_atom_site_label
_atom_site_type_symbol
_atom_site_fract_x
_atom_site_fract_y
_atom_site_fract_z
Al1 Al 0.000 0.000 0.000
Cr1 Cr 0.000 0.000 0.500
Sn1 Sn 0.000 0.500 0.000
N1 N 0.500 0.500 0.500